Entry 1:
Here is a geometry-optimized Li2Al3Ga2 structure from the Alexandria database. Energies are from PBE.

Unit cell a=9.086 b=3.998 c=6.344 alpha=90.00 beta=96.10 gamma=90.00
Fractional coordinates of all 14 atoms:
1 Li 0.073 0.000 0.216
2 Li 0.427 0.500 0.784
3 Li 0.573 0.500 0.216
4 Li 0.927 0.000 0.784
5 Al 0.000 0.500 0.500
6 Al 0.214 0.000 0.646
7 Al 0.286 0.500 0.354
8 Al 0.500 0.000 0.500
9 Al 0.714 0.500 0.646
10 Al 0.786 0.000 0.354
11 Ga 0.141 0.500 0.926
12 Ga 0.359 0.000 0.074
13 Ga 0.641 0.000 0.926
14 Ga 0.859 0.500 0.074

Summary:
The density of states at the Fermi level comes out at 4.73 states/eV/cell. As for the crystal system: monoclinic. The value obtained for the formation enthalpy at 0 K is -0.14 eV per atom.

Entry 2:
Here is a geometry-optimized Ho4GaSe3 structure from the Alexandria database. Energies are from PBE.

Unit cell a=5.771 b=5.771 c=5.771 alpha=90.00 beta=90.00 gamma=90.00
Fractional coordinates of all 8 atoms:
1 Ho 0.000 0.000 0.000
2 Ho 0.000 0.500 0.500
3 Ho 0.500 0.000 0.500
4 Ho 0.500 0.500 0.000
5 Ga 0.500 0.500 0.500
6 Se 0.000 0.000 0.500
7 Se 0.000 0.500 0.000
8 Se 0.500 0.000 0.000

Summary:
The density of states at the Fermi level comes out at 3.52 states/eV/cell. As for the raw formation energy: -1.497 eV/atom. As for the crystal system: cubic.

Entry 3:
Here is a geometry-optimized Pr2Sm2Ho3 structure from the Alexandria database. Energies are from PBE.

Unit cell a=6.249 b=6.250 c=12.490 alpha=99.69 beta=99.69 gamma=99.43
Fractional coordinates of all 14 atoms:
1 Pr 0.143 0.284 0.288
2 Pr 0.285 0.571 0.072
3 Pr 0.715 0.429 0.928
4 Pr 0.857 0.716 0.712
5 Sm 0.425 0.857 0.856
6 Sm 0.431 0.857 0.359
7 Sm 0.569 0.143 0.641
8 Sm 0.575 0.143 0.144
9 Ho 0.000 0.000 0.000
10 Ho 0.000 0.000 0.500
11 Ho 0.142 0.286 0.783
12 Ho 0.285 0.571 0.571
13 Ho 0.715 0.429 0.429
14 Ho 0.858 0.714 0.217

Summary:
The density of states at the Fermi level comes out at 19.21 states/eV/cell. As for the crystal system: triclinic. The value obtained for the formation enthalpy at 0 K is 0.02 eV per atom.

Entry 4:
Here is a geometry-optimized HgSe2F structure from the Alexandria database. Energies are from PBE.

Unit cell a=3.823 b=3.823 c=21.726 alpha=90.00 beta=90.00 gamma=90.00
Fractional coordinates of all 16 atoms:
1 Hg 0.000 0.000 0.000
2 Hg 0.000 0.500 0.250
3 Hg 0.500 0.000 0.750
4 Hg 0.500 0.500 0.500
5 Se 0.249 0.250 0.125
6 Se 0.250 0.749 0.375
7 Se 0.250 0.751 0.875
8 Se 0.251 0.250 0.625
9 Se 0.749 0.750 0.625
10 Se 0.750 0.249 0.875
11 Se 0.750 0.251 0.375
12 Se 0.751 0.750 0.125
13 F 0.000 0.000 0.500
14 F 0.000 0.500 0.750
15 F 0.500 0.000 0.250
16 F 0.500 0.500 0.000

Summary:
The density of states at the Fermi level comes out at 7.04 states/eV/cell. As for the raw formation energy: -0.311 eV/atom. As for the crystal system: tetragonal.

Question: The highest density of states at the Fermi level belongs to which entry?
Answer: Pr2Sm2Ho3

Question: Number 1 is which compound?
Answer: Li2Al3Ga2